1.
! PBE GeRu2I, relaxed; values from VASP
! ΔE to the lowest computed polymorph, meV per atom: 0
! Uncorrected formation energy, eV/atom: 0.624
! Symmetry: Fm-3m (225)
! Total energy, eV per atom: -5.56
! Density of states at the Fermi level, states/eV per cell: 3.63
&SYSTEM
  ibrav = 0, nat = 4, ntyp = 3
/
ATOMIC_SPECIES
I 126.90 I.upf
Ru 101.07 Ru.upf
Ge 72.64 Ge.upf
CELL_PARAMETERS angstrom
0.0000 3.2198 3.2198
3.2198 0.0000 3.2198
3.2198 3.2198 0.0000
ATOMIC_POSITIONS crystal
I 0.5000 0.5000 0.5000
Ru 0.2500 0.2500 0.2500
Ru 0.7500 0.7500 0.7500
Ge 0.0000 0.0000 0.0000

2.
! PBE Tb6NdDy2Er, relaxed; values from VASP
! Symmetry: C2/c (15)
! DFT formation energy, kJ/mol of atoms: 11
! Total energy, eV per atom: -4.51
! Density of states at the Fermi level, states/eV per cell: 28.11
&SYSTEM
  ibrav = 0, nat = 20, ntyp = 4
/
ATOMIC_SPECIES
Tb 158.93 Tb.upf
Nd 144.24 Nd.upf
Dy 162.50 Dy.upf
Er 167.26 Er.upf
CELL_PARAMETERS angstrom
9.1144 -1.9910 -2.0662
0.8151 8.5275 -2.0047
0.8151 -2.3193 8.4473
ATOMIC_POSITIONS crystal
Tb 0.0563 0.1230 0.7509
Tb 0.4437 0.2491 0.8770
Tb 0.9437 0.8770 0.2491
Tb 0.5563 0.7509 0.1230
Tb 0.3158 0.9837 0.4342
Tb 0.1842 0.5658 0.0163
Tb 0.6842 0.0163 0.5658
Tb 0.8158 0.4342 0.9837
Tb 0.1189 0.7081 0.4917
Tb 0.3811 0.5083 0.2919
Tb 0.8811 0.2919 0.5083
Tb 0.6189 0.4917 0.7081
Nd 0.2500 0.9751 0.0249
Nd 0.7500 0.0249 0.9751
Dy 0.4541 0.8002 0.6960
Dy 0.0459 0.3040 0.1998
Dy 0.5459 0.1998 0.3040
Dy 0.9541 0.6960 0.8002
Er 0.2500 0.4095 0.5905
Er 0.7500 0.5905 0.4095

3.
! PBE Ba3MgHg4, relaxed; values from VASP
! Symmetry: P4/mmm (123)
! DFT formation energy, kJ/mol of atoms: -41
! Total energy, eV per atom: -1.49
! Density of states at the Fermi level, states/eV per cell: 3.79
&SYSTEM
  ibrav = 0, nat = 8, ntyp = 3
/
ATOMIC_SPECIES
Mg 24.30 Mg.upf
Ba 137.33 Ba.upf
Hg 200.59 Hg.upf
CELL_PARAMETERS angstrom
-3.4408 1.8234 1.1303
-0.6360 -2.9073 2.7540
8.1583 8.5998 10.9626
ATOMIC_POSITIONS crystal
Mg 0.5000 0.5000 0.0000
Ba 0.5000 0.5000 0.2305
Ba 0.5000 0.5000 0.5000
Ba 0.5000 0.5000 0.7695
Hg 0.0000 0.0000 0.9039
Hg 0.0000 0.0000 0.0961
Hg 0.0000 0.0000 0.3663
Hg 0.0000 0.0000 0.6337

4.
! PBE LaPmIr2, relaxed; values from VASP
! ΔE to the lowest computed polymorph, meV per atom: 0
! Symmetry: Amm2 (38)
! DFT formation energy, kJ/mol of atoms: -64
! Total energy, eV per atom: -7.52
! Density of states at the Fermi level, states/eV per cell: 1.65
&SYSTEM
  ibrav = 0, nat = 4, ntyp = 3
/
ATOMIC_SPECIES
La 138.91 La.upf
Pm 145.00 Pm.upf
Ir 192.22 Ir.upf
CELL_PARAMETERS angstrom
4.0624 0.0000 -0.0260
0.0000 4.2376 0.0000
-1.9934 0.0000 5.5113
ATOMIC_POSITIONS crystal
La 0.7277 0.0000 0.9944
Pm 0.4394 0.5000 0.4178
Ir 0.1611 0.5000 0.8609
Ir 0.0029 0.0000 0.5450

5.
! PBE ScTc2Se, relaxed; values from VASP
! Uncorrected formation energy, eV/atom: 0.009
! Symmetry: R3m (160)
! Total energy, eV per atom: -7.63
! Density of states at the Fermi level, states/eV per cell: 4.27
&SYSTEM
  ibrav = 0, nat = 4, ntyp = 3
/
ATOMIC_SPECIES
Sc 44.96 Sc.upf
Se 78.96 Se.upf
Tc 98.00 Tc.upf
CELL_PARAMETERS angstrom
8.1506 -0.0684 -0.0404
7.5564 3.0558 -0.0404
7.5564 1.4372 2.6970
ATOMIC_POSITIONS crystal
Sc 0.5015 0.5015 0.5015
Se 0.7460 0.7460 0.7460
Tc 0.9972 0.9972 0.9972
Tc 0.2554 0.2554 0.2554

6.
! PBE CePmCdOs, relaxed; values from VASP
! ΔE to the lowest computed polymorph, meV per atom: 128
! Symmetry: F-43m (216)
! DFT formation energy, kJ/mol of atoms: -6
! Total energy, eV per atom: -5.77
! Density of states at the Fermi level, states/eV per cell: 4.52
&SYSTEM
  ibrav = 0, nat = 4, ntyp = 4
/
ATOMIC_SPECIES
Cd 112.41 Cd.upf
Os 190.23 Os.upf
Ce 140.12 Ce.upf
Pm 145.00 Pm.upf
CELL_PARAMETERS angstrom
-4.7084 -1.7546 1.0147
-1.2635 -4.8120 -1.2351
-0.6940 -3.4942 3.6859
ATOMIC_POSITIONS crystal
Cd 0.2500 0.2500 0.2500
Os 0.7500 0.7500 0.7500
Ce 0.0000 0.0000 0.0000
Pm 0.5000 0.5000 0.5000

7.
! PBE InGe2Pt7, relaxed; values from VASP
! Symmetry: I4/mmm (139)
! DFT formation energy, kJ/mol of atoms: -40
! Total energy, eV per atom: -5.84
! Density of states at the Fermi level, states/eV per cell: 3.78
&SYSTEM
  ibrav = 0, nat = 10, ntyp = 3
/
ATOMIC_SPECIES
In 114.82 In.upf
Ge 72.64 Ge.upf
Pt 195.08 Pt.upf
CELL_PARAMETERS angstrom
3.9987 0.0000 -0.7694
-0.1481 3.9960 -0.7694
-0.0411 -0.0427 10.5616
ATOMIC_POSITIONS crystal
In 0.0000 0.0000 0.0000
Ge 0.6740 0.6740 0.3479
Ge 0.3260 0.3260 0.6521
Pt 0.1009 0.6009 0.2018
Pt 0.3991 0.8991 0.7982
Pt 0.6009 0.1009 0.2018
Pt 0.5000 0.5000 0.0000
Pt 0.7500 0.2500 0.5000
Pt 0.8991 0.3991 0.7982
Pt 0.2500 0.7500 0.5000

8.
! PBE InAgSb2I, relaxed; values from VASP
! ΔE to the lowest computed polymorph, meV per atom: 0
! Uncorrected formation energy, eV/atom: 0.436
! Symmetry: P4/mmm (123)
! Total energy, eV per atom: -2.64
! Density of states at the Fermi level, states/eV per cell: 5.20
&SYSTEM
  ibrav = 0, nat = 5, ntyp = 4
/
ATOMIC_SPECIES
I 126.90 I.upf
Sb 121.76 Sb.upf
Ag 107.87 Ag.upf
In 114.82 In.upf
CELL_PARAMETERS angstrom
-2.9378 -2.7153 -3.5686
-0.9085 -3.8174 3.6525
-5.0796 3.0150 1.8876
ATOMIC_POSITIONS crystal
I 0.0000 0.0000 0.5000
Sb 0.0000 0.5000 0.0000
Sb 0.5000 0.0000 0.0000
Ag 0.0000 0.0000 0.0000
In 0.5000 0.5000 0.5000

9.
! PBE Ag2BiH, relaxed; values from VASP
! ΔE to the lowest computed polymorph, meV per atom: 433
! Symmetry: Fm-3m (225)
! Total energy, eV per atom: -2.58
! Density of states at the Fermi level, states/eV per cell: 1.84
&SYSTEM
  ibrav = 0, nat = 4, ntyp = 3
/
ATOMIC_SPECIES
H 1.01 H.upf
Bi 208.98 Bi.upf
Ag 107.87 Ag.upf
CELL_PARAMETERS angstrom
-3.5645 0.8322 3.0844
-2.1578 4.2722 0.0678
-4.4918 0.4382 -1.5950
ATOMIC_POSITIONS crystal
H 0.0000 0.0000 0.0000
Bi 0.5000 0.5000 0.5000
Ag 0.2500 0.2500 0.2500
Ag 0.7500 0.7500 0.7500

10.
! PBE LiAg4Hg, relaxed; values from VASP
! ΔE to the lowest computed polymorph, meV per atom: 88
! Symmetry: F-43m (216)
! DFT formation energy, kJ/mol of atoms: -1
! Total energy, eV per atom: -2.28
! Density of states at the Fermi level, states/eV per cell: 1.85
&SYSTEM
  ibrav = 0, nat = 6, ntyp = 3
/
ATOMIC_SPECIES
Li 6.94 Li.upf
Ag 107.87 Ag.upf
Hg 200.59 Hg.upf
CELL_PARAMETERS angstrom
-4.2234 -3.5793 0.3936
-5.2271 1.8659 0.0107
-3.2814 -0.9129 -4.3821
ATOMIC_POSITIONS crystal
Li 0.0000 0.0000 0.0000
Ag 0.8755 0.3748 0.3748
Ag 0.3748 0.3748 0.8755
Ag 0.3748 0.8755 0.3748
Ag 0.3748 0.3748 0.3748
Hg 0.7500 0.7500 0.7500

11.
! PBE Pr2PuTe4, relaxed; values from VASP
! ΔE to the lowest computed polymorph, meV per atom: 71
! Uncorrected formation energy, eV/atom: -1.283
! Symmetry: Cmcm (63)
! Total energy, eV per atom: -6.49
! Density of states at the Fermi level, states/eV per cell: 36.83
&SYSTEM
  ibrav = 0, nat = 14, ntyp = 3
/
ATOMIC_SPECIES
Pr 140.91 Pr.upf
Pu 244.00 Pu.upf
Te 127.60 Te.upf
CELL_PARAMETERS angstrom
4.4160 0.0000 0.0000
-2.2080 7.4060 0.0000
0.0000 0.0000 15.3141
ATOMIC_POSITIONS crystal
Pr 0.1341 0.2682 0.4308
Pr 0.8659 0.7318 0.9308
Pr 0.1341 0.2682 0.0692
Pr 0.8659 0.7318 0.5692
Pu 0.6211 0.2422 0.7500
Pu 0.3789 0.7578 0.2500
Te 0.7781 0.5562 0.1258
Te 0.7781 0.5562 0.3742
Te 0.2219 0.4438 0.8742
Te 0.2219 0.4438 0.6258
Te 0.9671 0.9343 0.7500
Te 0.0329 0.0657 0.2500
Te 0.5000 0.0000 0.0000
Te 0.5000 0.0000 0.5000

12.
! PBE BeNbTc, relaxed; values from VASP
! ΔE to the lowest computed polymorph, meV per atom: 7
! Symmetry: P-62m (189)
! DFT formation energy, kJ/mol of atoms: -28
! Total energy, eV per atom: -8.34
! Density of states at the Fermi level, states/eV per cell: 13.81
&SYSTEM
  ibrav = 0, nat = 18, ntyp = 3
/
ATOMIC_SPECIES
Nb 92.91 Nb.upf
Tc 98.00 Tc.upf
Be 9.01 Be.upf
CELL_PARAMETERS angstrom
6.6195 0.0000 0.0000
3.3098 6.5453 0.6791
3.3098 2.8199 5.9457
ATOMIC_POSITIONS crystal
Nb 0.2568 0.9487 0.4487
Nb 0.6542 0.0513 0.5513
Nb 0.6542 0.5513 0.0513
Nb 0.2568 0.4487 0.9487
Nb 0.8594 0.2500 0.7500
Nb 0.8594 0.7500 0.2500
Tc 0.5176 0.5000 0.5000
Tc 0.5176 0.0000 0.0000
Tc 0.2568 0.8698 0.8698
Tc 0.9965 0.1302 0.1302
Tc 0.9965 0.6302 0.6302
Tc 0.2568 0.3698 0.3698
Be 0.2570 0.7500 0.2500
Be 0.2570 0.2500 0.7500
Be 0.5901 0.6668 0.6668
Be 0.9236 0.3332 0.3332
Be 0.9236 0.8332 0.8332
Be 0.5901 0.1668 0.1668